1.
{
  "formula": "BeReAs2Se",
  "functional": "GGA-PBE",
  "state": "optimized geometry",
  "lattice": [[4.690, 0.000, 0.000], [0.000, 4.690, 0.000], [0.000, 0.000, 5.413]],
  "species": ["Se", "Re", "Be", "As", "As"],
  "fractional_positions": [[0.000, 0.000, 0.500], [0.000, 0.000, 0.000], [0.500, 0.500, 0.500], [0.000, 0.500, 0.000], [0.500, 0.000, 0.000]],
  "total_magnetization_mub_per_fu": 0.27
}

***

2.
{
  "formula": "BeReAs2Se",
  "functional": "GGA-PBE",
  "state": "optimized geometry",
  "lattice": [[-1.280, 4.001, 0.923], [0.505, -0.807, 4.195], [4.423, 1.472, -0.249]],
  "species": ["Se", "As", "As", "Be", "Re"],
  "fractional_positions": [[0.000, 0.000, 0.500], [0.000, 0.500, 0.000], [0.500, 0.000, 0.000], [0.000, 0.000, 0.000], [0.500, 0.500, 0.500]],
  "total_magnetization_mub_per_fu": 2.05
}

***

What is the least stable structure shown above? It is 2.